Below is a PBEsol-optimized structure of Sr3Fe2O7, with properties calculated at the SCAN level. Values from VASP.

Total moment in μB per cell: 7.73
Energy relative to the elements, uncorrected in eV per formula unit: -29.48

Structure (Quantum ESPRESSO input):
```
&SYSTEM
  ibrav = 0, nat = 12, ntyp = 3
/
ATOMIC_SPECIES
Fe 55.84 Fe.upf
O 16.00 O.upf
Sr 87.62 Sr.upf
CELL_PARAMETERS angstrom
-3.1811 1.3846 1.5318
-0.5298 -3.2666 1.8524
7.0671 4.4397 5.9684
ATOMIC_POSITIONS crystal
Fe 0.0958 0.0958 0.1916
O 0.5952 0.0952 0.1904
O 0.0952 0.5952 0.1904
Sr 0.5000 0.5000 0.0000
Sr 0.3173 0.3173 0.6345
Sr 0.6827 0.6827 0.3655
O 0.4048 0.9048 0.8096
Fe 0.9042 0.9042 0.8084
O 0.0000 0.0000 0.0000
O 0.9048 0.4048 0.8096
O 0.8082 0.8082 0.6163
O 0.1918 0.1918 0.3837
```